# 1
Density functional theory data (PBE) for a relaxed CaHfNi2 crystal.

offset from the most stable computed form = 0 meV per atom
formation enthalpy at 0 K = -1.246 eV/f.u.

Cell: 3.2459 3.2459 6.9309 Å, 90.00 90.00 90.00°
Closest atoms and distances in Å follow each position.
Space group P4/mmm (No. 123)
Unique sites:
1 Ca 0.0000 0.0000 0.0000 [1 per cell]  8 Ni 3.12, 4 Ca 3.25, 2 Hf 3.47
2 Hf 0.0000 0.0000 0.5000 [1 per cell]  8 Ni 2.66
3 Ni 0.5000 0.5000 0.3057 [2 per cell]  4 Hf 2.66, 1 Ni 2.69

=====

# 2
Density functional theory data (PBE) for a relaxed Al2Hg3 crystal.

offset from the most stable computed form = 14 meV per atom
formation enthalpy at 0 K = 0.690 eV/f.u.

Cell: 6.6790 6.6790 18.6495 Å, 90.00 90.00 120.00°
Closest atoms and distances in Å follow each position.
Space group R-3c (No. 167, hexagonal axes)
Unique sites:
1 Al 0.0000 0.0000 0.1774 [12 per cell]  1 Al 2.71, 6 Hg 2.73-2.87
2 Hg 0.0000 0.3788 0.2500 [18 per cell]  4 Al 2.73-2.87

=====

# 3
Density functional theory data (PBE) for a relaxed Ac6SnN2 crystal.

formation energy from raw total energies = -4.58 eV/f.u.

Cell: 7.1370 7.1370 6.8927 Å, 90.00 90.00 120.00°
Closest atoms and distances in Å follow each position.
Space group P-31m (No. 162)
Unique sites:
1 Ac 0.0000 0.3715 0.2183 [6 per cell]  2 N 2.71
2 Sn 0.0000 0.0000 0.5000 [1 per cell]  6 Ac 3.29
3 N 0.3333 0.6667 0.0000 [2 per cell]  6 Ac 2.71

=====

# 4
Density functional theory data (PBE) for a relaxed GdHoCu4 crystal.

formation enthalpy at 0 K = -0.971 eV/f.u.

Cell: 7.4497 7.4497 7.4497 Å, 90.00 90.00 90.00°
Closest atoms and distances in Å follow each position.
Space group F-43m (No. 216)
Unique sites:
1 Gd 0.0000 0.0000 0.0000 [4 per cell]  12 Cu 3.09, 4 Ho 3.23
2 Ho 0.2500 0.2500 0.2500 [4 per cell]  12 Cu 3.09, 4 Gd 3.23
3 Cu 0.1246 0.1246 0.6246 [16 per cell]  6 Cu 2.63-2.64

=====

# 5
Density functional theory data (PBE) for a relaxed ZrPdPt2 crystal.

formation enthalpy at 0 K = -1.930 eV/f.u.

Cell: 7.3109 7.3109 5.5240 Å, 90.00 90.00 90.00°
Closest atoms and distances in Å follow each position.
Space group I-42d (No. 122)
Unique sites:
1 Zr 0.0000 0.0000 0.0000 [4 per cell]  4 Pt 2.65, 2 Pd 2.76
2 Pd 0.0000 0.0000 0.5000 [4 per cell]  4 Pt 2.71, 2 Zr 2.76
3 Pt 0.2441 0.7500 0.1250 [8 per cell]  2 Zr 2.65, 2 Pd 2.71, 2 Pt 2.76

=====

# 6
Density functional theory data (PBE) for a relaxed K3Ce3ZnSe8 crystal.

formation energy from raw total energies = -21.28 eV/f.u.

Cell: 8.4242 8.4242 23.3095 Å, 90.00 90.00 120.00°
Closest atoms and distances in Å follow each position.
Space group R-3m (No. 166, hexagonal axes)
Unique sites:
1 K 0.0000 0.5000 0.0000 [9 per cell]  6 Se 3.32-3.37
2 Ce 0.0000 0.5000 0.5000 [9 per cell]  6 Se 2.89-2.93
3 Zn 0.0000 0.0000 0.5000 [3 per cell]  6 Se 2.81
4 Se 0.0000 0.0000 0.2365 [6 per cell]  3 Ce 2.93
5 Se 0.0094 0.5047 0.2315 [18 per cell]  1 Zn 2.81, 2 Ce 2.89